# 1
KPaAg2F8: optimized geometry, PBE.

Results
- Uncorrected formation energy: -30.96 eV per formula unit
- D(E_F): 0.00 states/eV/cell
- E_tot: -5.185 eV per atom

Cell: 9.958 9.958 9.958 Å, 29.28 29.28 29.28°
Atoms (fractional coordinates):
1 K 0.000 0.000 0.000
2 Pa 0.500 0.500 0.500
3 Ag 0.277 0.277 0.277
4 Ag 0.723 0.723 0.723
5 F 0.121 0.460 0.779
6 F 0.221 0.540 0.879
7 F 0.353 0.353 0.353
8 F 0.460 0.779 0.121
9 F 0.540 0.879 0.221
10 F 0.647 0.647 0.647
11 F 0.779 0.121 0.460
12 F 0.879 0.221 0.540



# 2
KPaAgF6: optimized geometry, PBE.

Results
- Uncorrected formation energy: -26.67 eV per formula unit
- D(E_F): 8.40 states/eV/cell
- E_tot: -5.704 eV per atom

Cell: 6.608 6.608 9.169 Å, 90.00 90.00 120.00°
Atoms (fractional coordinates):
1 K 0.333 0.667 0.250
2 K 0.667 0.333 0.750
3 Pa 0.333 0.667 0.750
4 Pa 0.667 0.333 0.250
5 Ag 0.000 0.000 0.000
6 Ag 0.000 0.000 0.500
7 F 0.055 0.380 0.623
8 F 0.055 0.676 0.877
9 F 0.324 0.380 0.877
10 F 0.324 0.945 0.623
11 F 0.380 0.055 0.123
12 F 0.380 0.324 0.377
13 F 0.620 0.676 0.623
14 F 0.620 0.945 0.877
15 F 0.676 0.055 0.377
16 F 0.676 0.620 0.123
17 F 0.945 0.324 0.123
18 F 0.945 0.620 0.377



# 3
K2AgPbF8: optimized geometry, PBE.

Results
- Uncorrected formation energy: -24.90 eV per formula unit
- E_tot: -4.052 eV per atom

Cell: 4.775 6.024 7.845 Å, 85.19 88.56 84.99°
Atoms (fractional coordinates):
1 K 0.071 0.004 0.251
2 K 0.929 0.996 0.749
3 Ag 0.500 0.500 0.000
4 Pb 0.500 0.500 0.500
5 F 0.127 0.701 0.529
6 F 0.188 0.754 0.999
7 F 0.377 0.370 0.263
8 F 0.386 0.228 0.664
9 F 0.614 0.772 0.336
10 F 0.623 0.630 0.737
11 F 0.812 0.246 0.001
12 F 0.873 0.299 0.471



# 4
KAgPbF6: optimized geometry, PBE.

Results
- Uncorrected formation energy: -18.01 eV per formula unit
- E_tot: -4.099 eV per atom

Cell: 6.211 6.211 5.316 Å, 90.01 90.01 120.07°
Atoms (fractional coordinates):
1 K 0.000 0.000 0.000
2 Ag 0.666 0.334 0.500
3 Pb 0.333 0.667 0.500
4 F 0.045 0.385 0.281
5 F 0.045 0.660 0.719
6 F 0.340 0.955 0.281
7 F 0.341 0.386 0.719
8 F 0.614 0.659 0.281
9 F 0.615 0.955 0.719



# 5
K2Ag2PbF6: optimized geometry, PBE.

Results
- Uncorrected formation energy: -21.74 eV per formula unit
- D(E_F): 0.00 states/eV/cell
- E_tot: -4.052 eV per atom

Cell: 6.731 6.731 6.619 Å, 114.09 114.09 58.03°
Atoms (fractional coordinates):
1 K 0.228 0.228 0.152
2 K 0.772 0.772 0.848
3 Ag 0.427 0.427 0.756
4 Ag 0.573 0.573 0.244
5 Pb 0.000 0.000 0.500
6 F 0.172 0.667 0.185
7 F 0.217 0.217 0.542
8 F 0.333 0.828 0.815
9 F 0.667 0.172 0.185
10 F 0.783 0.783 0.458
11 F 0.828 0.333 0.815



# 6
K2AgPdF6: optimized geometry, PBE.

Results
- Uncorrected formation energy: -19.03 eV per formula unit
- D(E_F): 2.37 states/eV/cell
- Energy above the lowest structure with this stoichiometry: 0.09 eV/f.u.
- E_tot: -4.049 eV per atom

Cell: 6.189 6.189 6.189 Å, 60.00 60.00 60.00°
Atoms (fractional coordinates):
1 K 0.250 0.250 0.250
2 K 0.750 0.750 0.750
3 Ag 0.000 0.000 0.000
4 Pd 0.500 0.500 0.500
5 F 0.261 0.261 0.739
6 F 0.261 0.739 0.261
7 F 0.261 0.739 0.739
8 F 0.739 0.261 0.261
9 F 0.739 0.261 0.739
10 F 0.739 0.739 0.261



# 7
K2AgPdF5: optimized geometry, PBE.

Results
- Uncorrected formation energy: -16.22 eV per formula unit
- D(E_F): 0.00 states/eV/cell
- E_tot: -3.979 eV per atom

Cell: 6.970 6.970 6.439 Å, 90.00 90.00 90.00°
Atoms (fractional coordinates):
1 K 0.171 0.329 0.000
2 K 0.329 0.829 0.000
3 K 0.671 0.171 0.000
4 K 0.829 0.671 0.000
5 Ag 0.000 0.000 0.500
6 Ag 0.500 0.500 0.500
7 Pd 0.000 0.500 0.500
8 Pd 0.500 0.000 0.500
9 F 0.000 0.000 0.000
10 F 0.145 0.645 0.286
11 F 0.145 0.645 0.714
12 F 0.355 0.145 0.286
13 F 0.355 0.145 0.714
14 F 0.500 0.500 0.000
15 F 0.645 0.855 0.286
16 F 0.645 0.855 0.714
17 F 0.855 0.355 0.286
18 F 0.855 0.355 0.714



# 8
KAgPd2F6: optimized geometry, PBE.

Results
- Uncorrected formation energy: -14.69 eV per formula unit
- E_tot: -4.026 eV per atom

Cell: 5.978 5.983 6.004 Å, 119.66 90.62 119.47°
Atoms (fractional coordinates):
1 K 0.000 0.000 0.000
2 Ag 0.524 0.023 0.499
3 Pd 0.258 0.508 0.749
4 Pd 0.759 0.508 0.250
5 F 0.119 0.617 0.498
6 F 0.432 0.434 0.002
7 F 0.545 0.008 0.063
8 F 0.554 0.498 0.545
9 F 0.943 0.482 0.935
10 F 0.955 0.009 0.455



# 9
K2Ag2PdF6: optimized geometry, PBE.

Results
- Uncorrected formation energy: -18.50 eV per formula unit
- E_tot: -3.893 eV per atom

Cell: 7.613 7.613 5.039 Å, 104.45 104.45 44.69°
Atoms (fractional coordinates):
1 K 0.223 0.223 0.177
2 K 0.777 0.777 0.823
3 Ag 0.441 0.441 0.729
4 Ag 0.559 0.559 0.271
5 Pd 0.000 0.000 0.500
6 F 0.164 0.677 0.254
7 F 0.287 0.287 0.723
8 F 0.323 0.836 0.746
9 F 0.677 0.164 0.254
10 F 0.713 0.713 0.277
11 F 0.836 0.323 0.746



# 10
KAgPd2F8: optimized geometry, PBE.

Results
- Uncorrected formation energy: -18.10 eV per formula unit
- D(E_F): 2.25 states/eV/cell
- E_tot: -3.951 eV per atom

Cell: 5.230 6.943 5.395 Å, 90.00 91.91 90.00°
Atoms (fractional coordinates):
1 K 0.000 0.000 0.000
2 Ag 0.000 0.500 0.000
3 Pd 0.500 0.255 0.500
4 Pd 0.500 0.745 0.500
5 F 0.242 0.266 0.225
6 F 0.242 0.734 0.225
7 F 0.321 0.500 0.659
8 F 0.334 0.000 0.645
9 F 0.666 0.000 0.355
10 F 0.679 0.500 0.341
11 F 0.758 0.266 0.775
12 F 0.758 0.734 0.775



# 11
K4AgPd3F12: optimized geometry, PBE.

Results
- Uncorrected formation energy: -37.78 eV per formula unit
- D(E_F): 4.16 states/eV/cell
- E_tot: -4.153 eV per atom

Cell: 7.527 7.527 7.527 Å, 109.47 109.47 109.47°
Atoms (fractional coordinates):
1 K 0.000 0.000 0.500
2 K 0.000 0.500 0.000
3 K 0.500 0.000 0.000
4 K 0.500 0.500 0.500
5 Ag 0.000 0.000 0.000
6 Pd 0.000 0.500 0.500
7 Pd 0.500 0.000 0.500
8 Pd 0.500 0.500 0.000
9 F 0.000 0.265 0.265
10 F 0.000 0.735 0.735
11 F 0.250 0.500 0.750
12 F 0.250 0.750 0.500
13 F 0.265 0.000 0.265
14 F 0.265 0.265 0.000
15 F 0.500 0.250 0.750
16 F 0.500 0.750 0.250
17 F 0.735 0.000 0.735
18 F 0.735 0.735 0.000
19 F 0.750 0.250 0.500
20 F 0.750 0.500 0.250



# 12
K2AgPdF6: optimized geometry, PBE.

Results
- Uncorrected formation energy: -19.12 eV per formula unit
- D(E_F): 2.91 states/eV/cell
- Energy above the lowest structure with this stoichiometry: 0.00 eV/f.u.
- E_tot: -4.059 eV per atom

Cell: 6.118 6.176 10.621 Å, 90.00 125.04 90.00°
Atoms (fractional coordinates):
1 K 0.244 0.034 0.250
2 K 0.244 0.466 0.750
3 K 0.756 0.534 0.250
4 K 0.756 0.966 0.750
5 Ag 0.500 0.000 0.000
6 Ag 0.500 0.500 0.500
7 Pd 0.000 0.000 0.500
8 Pd 0.000 0.500 0.000
9 F 0.166 0.228 0.967
10 F 0.166 0.272 0.467
11 F 0.242 0.701 0.969
12 F 0.242 0.799 0.469
13 F 0.298 0.015 0.738
14 F 0.298 0.485 0.238
15 F 0.702 0.515 0.762
16 F 0.702 0.985 0.262
17 F 0.758 0.201 0.531
18 F 0.758 0.299 0.031
19 F 0.834 0.728 0.533
20 F 0.834 0.772 0.033



# 13
KPmAgF6: optimized geometry, PBE.

Results
- Uncorrected formation energy: -25.21 eV per formula unit
- E_tot: -5.015 eV per atom

Cell: 3.881 6.029 6.344 Å, 115.56 91.86 90.77°
Atoms (fractional coordinates):
1 K 0.000 0.000 0.000
2 Pm 0.529 0.665 0.329
3 Ag 0.248 0.325 0.659
4 F 0.018 0.637 0.112
5 F 0.032 0.424 0.388
6 F 0.047 0.951 0.571
7 F 0.494 0.302 0.958
8 F 0.517 0.659 0.707
9 F 0.524 0.016 0.295



# 14
KPmAg2F8: optimized geometry, PBE.

Results
- Uncorrected formation energy: -28.19 eV per formula unit
- D(E_F): 2.21 states/eV/cell
- E_tot: -4.559 eV per atom

Cell: 6.754 6.754 6.754 Å, 126.55 126.55 78.99°
Atoms (fractional coordinates):
1 K 0.000 0.000 0.000
2 Pm 0.750 0.250 0.500
3 Ag 0.250 0.750 0.500
4 Ag 0.500 0.500 0.000
5 F 0.002 0.609 0.026
6 F 0.024 0.998 0.606
7 F 0.126 0.335 0.571
8 F 0.391 0.418 0.394
9 F 0.445 0.874 0.209
10 F 0.582 0.976 0.974
11 F 0.665 0.236 0.791
12 F 0.764 0.555 0.429



# 15
K2AgPtF6: optimized geometry, PBE.

Results
- Uncorrected formation energy: -17.89 eV per formula unit
- D(E_F): 6.79 states/eV/cell
- E_tot: -4.020 eV per atom

Cell: 11.241 11.241 11.241 Å, 32.33 32.33 32.33°
Atoms (fractional coordinates):
1 K 0.141 0.141 0.141
2 K 0.270 0.270 0.270
3 K 0.730 0.730 0.730
4 K 0.859 0.859 0.859
5 Ag 0.409 0.409 0.409
6 Ag 0.591 0.591 0.591
7 Pt 0.000 0.000 0.000
8 Pt 0.500 0.500 0.500
9 F 0.121 0.629 0.629
10 F 0.187 0.187 0.736
11 F 0.187 0.736 0.187
12 F 0.264 0.813 0.813
13 F 0.371 0.371 0.879
14 F 0.371 0.879 0.371
15 F 0.629 0.121 0.629
16 F 0.629 0.629 0.121
17 F 0.736 0.187 0.187
18 F 0.813 0.264 0.813
19 F 0.813 0.813 0.264
20 F 0.879 0.371 0.371



# 16
K2PuAgF8: optimized geometry, PBE.

Results
- Uncorrected formation energy: -32.71 eV per formula unit
- D(E_F): 2.95 states/eV/cell
- E_tot: -5.588 eV per atom

Cell: 7.095 7.095 7.095 Å, 130.56 130.56 72.52°
Atoms (fractional coordinates):
1 K 0.000 0.000 0.000
2 K 0.750 0.250 0.500
3 Pu 0.250 0.750 0.500
4 Ag 0.500 0.500 0.000
5 F 0.152 0.080 0.509
6 F 0.152 0.643 0.072
7 F 0.357 0.428 0.509
8 F 0.357 0.848 0.928
9 F 0.572 0.080 0.928
10 F 0.572 0.643 0.491
11 F 0.920 0.428 0.072
12 F 0.920 0.848 0.491



# 17
KPuAgF6: optimized geometry, PBE.

Results
- Uncorrected formation energy: -25.33 eV per formula unit
- D(E_F): 0.73 states/eV/cell
- E_tot: -6.093 eV per atom

Cell: 5.590 5.590 11.440 Å, 90.00 90.00 90.00°
Atoms (fractional coordinates):
1 K 0.000 0.000 0.000
2 K 0.500 0.500 0.500
3 Pu 0.000 0.000 0.666
4 Pu 0.500 0.500 0.166
5 Ag 0.000 0.000 0.328
6 Ag 0.500 0.500 0.828
7 F 0.176 0.176 0.521
8 F 0.192 0.192 0.802
9 F 0.226 0.226 0.172
10 F 0.274 0.726 0.672
11 F 0.308 0.692 0.302
12 F 0.324 0.676 0.021
13 F 0.676 0.324 0.021
14 F 0.692 0.308 0.302
15 F 0.726 0.274 0.672
16 F 0.774 0.774 0.172
17 F 0.808 0.808 0.802
18 F 0.824 0.824 0.521



# 18
KPuAg2F6: optimized geometry, PBE.

Results
- Uncorrected formation energy: -23.69 eV per formula unit
- D(E_F): 6.42 states/eV/cell
- E_tot: -5.605 eV per atom

Cell: 6.429 6.430 6.532 Å, 60.72 60.77 60.17°
Atoms (fractional coordinates):
1 K 0.000 0.000 0.000
2 Pu 0.500 0.500 0.500
3 Ag 0.281 0.283 0.155
4 Ag 0.720 0.718 0.844
5 F 0.134 0.413 0.759
6 F 0.304 0.866 0.244
7 F 0.412 0.697 0.757
8 F 0.587 0.305 0.241
9 F 0.696 0.133 0.755
10 F 0.866 0.587 0.245



# 19
K4RbAg3F12: optimized geometry, PBE.

Results
- Uncorrected formation energy: -39.62 eV per formula unit
- D(E_F): 11.06 states/eV/cell
- E_tot: -3.799 eV per atom

Cell: 8.039 8.039 8.039 Å, 109.47 109.47 109.47°
Atoms (fractional coordinates):
1 K 0.000 0.000 0.500
2 K 0.000 0.500 0.000
3 K 0.500 0.000 0.000
4 K 0.500 0.500 0.500
5 Rb 0.000 0.000 0.000
6 Ag 0.000 0.500 0.500
7 Ag 0.500 0.000 0.500
8 Ag 0.500 0.500 0.000
9 F 0.149 0.336 0.485
10 F 0.149 0.664 0.814
11 F 0.186 0.851 0.336
12 F 0.336 0.186 0.851
13 F 0.336 0.485 0.149
14 F 0.485 0.149 0.336
15 F 0.515 0.851 0.664
16 F 0.664 0.515 0.851
17 F 0.664 0.814 0.149
18 F 0.814 0.149 0.664
19 F 0.851 0.336 0.186
20 F 0.851 0.664 0.515